{"formula": "Nb3InP5", "functional": "GGA-PBE", "state": "relaxed", "total_magnetization_mub_per_cell": 0.00, "e_tot_ev_per_atom": -6.908, "lattice_angstrom": [[5.7569, 0.0000, 0.0000], [-2.8784, 4.9856, 0.0000], [0.0000, 0.0000, 5.9295]], "species": ["Nb", "Nb", "Nb", "In", "P", "P", "P", "P", "P"], "frac_coords": [[0.0000, 0.5000, 0.0000], [0.5000, 0.0000, 0.0000], [0.5000, 0.5000, 0.0000], [0.0000, 0.0000, 0.5000], [0.0000, 0.0000, 0.0000], [0.3333, 0.6667, 0.3214], [0.3333, 0.6667, 0.6786], [0.6667, 0.3333, 0.3214], [0.6667, 0.3333, 0.6786]]}